DFT (GGA-PBE) results for NbAlCd2O6 after structural relaxation.

abc: 5.367 5.481 9.388
angles: 90.00 124.81 90.00
Space group P2_1/c (No. 14)
Unique sites:
Nb  0.000  0.000  0.000
Al  0.500  0.000  0.500
Cd  0.258  0.035  0.749
O  0.167  0.026  0.256
O  0.257  0.701  0.047
O  0.348  0.212  0.046

Output
Density of states at the Fermi level in states/eV/atom: 0.000
Energy relative to the elements, uncorrected in kJ/mol of atoms: -197.5
Mass density in kg/m3: 6454